The following is a GGA-PBE calculation of Th5Pa3S8 after structural relaxation, from the Alexandria database.

a b c (Å): 7.9786 7.9786 19.5559
angles (deg): 90.00 90.00 120.00
Closest atoms and distances in Å follow each position.
Space group R-3m (No. 166, hexagonal axes)
Inequivalent atoms, fractional coordinates:
1 Th 0.0000 0.0000 0.0000 [3 per cell]  6 S 2.82
2 Th 0.0000 0.0000 0.5000 [3 per cell]  6 S 2.82
3 Th 0.0000 0.5000 0.0000 [9 per cell]  6 S 2.86
4 Pa 0.0000 0.5000 0.5000 [9 per cell]  6 S 2.78
5 S 0.0000 0.0000 0.2467 [6 per cell]  3 Pa 2.78, 3 Th 2.86
6 S 0.0046 0.5023 0.7523 [18 per cell]  2 Pa 2.78, 4 Th 2.82-2.86

Density of states at the Fermi level ... 0.960 states/eV/atom
Raw formation energy ... -40.13 kcal/mol of atoms
Energy ... -7.9031 eV per atom



The following is a GGA-PBE calculation of Ba6PtRh2Au after structural relaxation, from the Alexandria database.

a b c (Å): 7.9282 7.9282 22.0270
angles (deg): 90.00 90.00 120.00
Closest atoms and distances in Å follow each position.
Space group R3 (No. 146, hexagonal axes)
Inequivalent atoms, fractional coordinates:
1 Ba 0.0033 0.3479 0.0000 [9 per cell]  2 Rh 3.13-3.17, 1 Pt 3.18, 1 Au 3.34
2 Ba 0.0102 0.6385 0.5035 [9 per cell]  2 Rh 3.12-3.18, 1 Pt 3.17, 1 Au 3.33
3 Pt 0.0000 0.0000 0.9273 [3 per cell]  6 Ba 3.17-3.18
4 Rh 0.0000 0.0000 0.2494 [3 per cell]  6 Ba 3.12-3.17
5 Rh 0.0000 0.0000 0.7453 [3 per cell]  6 Ba 3.13-3.18
6 Au 0.0000 0.0000 0.4299 [3 per cell]  6 Ba 3.33-3.34

Density of states at the Fermi level ... 0.707 states/eV/atom
Energy ... -3.9148 eV per atom
ΔE_f ... -359 meV per atom



The following is a GGA-PBE calculation of ZrNi2Pb after structural relaxation, from the Alexandria database.

a b c (Å): 3.3366 4.3677 9.4427
angles (deg): 90.00 90.00 90.00
Closest atoms and distances in Å follow each position.
Space group Imm2 (No. 44)
Inequivalent atoms, fractional coordinates:
1 Zr 0.0000 0.0000 0.0000 [2 per cell]  6 Ni 2.75-2.98, 4 Pb 3.06-3.07
2 Ni 0.0000 0.0000 0.4858 [2 per cell]  2 Ni 2.52, 4 Zr 2.75
3 Ni 0.0000 0.5000 0.7860 [2 per cell]  2 Ni 2.52, 4 Pb 2.80
4 Pb 0.0000 0.5000 0.2270 [2 per cell]  6 Ni 2.80-2.82, 4 Zr 3.06-3.07

Density of states at the Fermi level ... 0.862 states/eV/atom
Energy ... -5.9647 eV per atom
ΔE_f ... -10 meV per atom



The following is a GGA-PBE calculation of Sr2In8Ir after structural relaxation, from the Alexandria database.

a b c (Å): 4.7952 4.7952 12.5963
angles (deg): 90.00 90.00 90.00
Closest atoms and distances in Å follow each position.
Space group P4/mmm (No. 123)
Inequivalent atoms, fractional coordinates:
1 Sr 0.0000 0.0000 0.1957 [2 per cell]  12 In 3.36-3.44
2 In 0.0000 0.5000 0.0000 [2 per cell]  8 In 3.39-3.40, 4 Sr 3.44
3 In 0.0000 0.5000 0.3822 [4 per cell]  2 Ir 2.82, 1 In 2.97
4 In 0.5000 0.5000 0.1918 [2 per cell]  8 In 3.39-3.40, 4 Sr 3.39
5 Ir 0.0000 0.0000 0.5000 [1 per cell]  8 In 2.82

Density of states at the Fermi level ... 0.406 states/eV/atom
Energy ... -3.4001 eV per atom
ΔE_f ... -297 meV per atom



The following is a GGA-PBE calculation of NpCoP after structural relaxation, from the Alexandria database.

a b c (Å): 3.6308 3.6308 7.8763
angles (deg): 90.00 90.00 90.00
Closest atoms and distances in Å follow each position.
Space group I4mm (No. 107)
Inequivalent atoms, fractional coordinates:
1 Np 0.0000 0.0000 0.0000 [2 per cell]  5 P 2.69-2.85, 5 Co 2.77-2.90
2 Co 0.0000 0.0000 0.3686 [2 per cell]  1 P 2.28
3 P 0.0000 0.0000 0.6584 [2 per cell]  1 Co 2.28

Density of states at the Fermi level ... 2.175 states/eV/atom
Energy ... -8.5759 eV per atom
ΔE_f ... -90 meV per atom



The following is a GGA-PBE calculation of PrDyEr2P4 after structural relaxation, from the Alexandria database.

a b c (Å): 6.9924 4.0410 6.9946
angles (deg): 90.00 109.47 90.00
Closest atoms and distances in Å follow each position.
Space group P2/m (No. 10)
Inequivalent atoms, fractional coordinates:
1 Pr 0.0000 0.0000 0.0000 [1 per cell]  6 P 2.91
2 Dy 0.0000 0.5000 0.5000 [1 per cell]  6 P 2.86-2.87
3 Er 0.5000 0.0000 0.5000 [1 per cell]  6 P 2.80
4 Er 0.5000 0.5000 0.0000 [1 per cell]  6 P 2.85
5 P 0.2563 0.0000 0.7469 [2 per cell]  3 Er 2.80-2.85, 2 Dy 2.87, 1 Pr 2.91
6 P 0.2603 0.5000 0.2588 [2 per cell]  3 Er 2.80-2.85, 1 Dy 2.86, 2 Pr 2.91

Density of states at the Fermi level ... 0.100 states/eV/atom
Energy ... -6.5921 eV per atom
ΔE_f ... -1574 meV per atom



Q: Which of these has the lowest density of states at the Fermi level?
A: PrDyEr2P4



Q: density of states at the Fermi level of number 4 (Sr2In8Ir)?
A: 0.406 states/eV/atom



Q: What is the energy in the third record?
A: -5.9647 eV per atom